Computed, not measured: an optimized crystal structure of Y5AgIr4 at the PBE level of DFT.

Calculated values
Total magnetization = 0.2 μB per cell
N(E_F) = 8.51 states/eV/f.u.
Energy relative to the elements = -0.7058 eV/atom
Calculated total energy = -7.77 eV per atom

Cell lengths 3.451, 3.451, 17.776 Å; angles 90.00, 90.00, 90.00 degrees
Atoms (fractional coordinates):
Y: 0.000 0.000 0.000
Y: 0.000 0.000 0.193
Y: 0.000 0.000 0.383
Y: 0.000 0.000 0.617
Y: 0.000 0.000 0.807
Ag: 0.500 0.500 0.500
Ir: 0.500 0.500 0.097
Ir: 0.500 0.500 0.293
Ir: 0.500 0.500 0.707
Ir: 0.500 0.500 0.903